Crystalline Ho4InTe3 at its relaxed geometry, computed with PBE.

As for the total energy: -77.9 eV per cell. The crystal system is orthorhombic. The value obtained for the energy relative to the elements, uncorrected is -1.06 eV/atom.

It has space group Cmmm (No. 65), with a = 8.8184 Å, b = 12.3488 Å, c = 4.3057 Å, α = 90.00°, β = 90.00° and γ = 90.00°. The distinct sites, in fractional coordinates, are Ho at (0.0000, 0.2422, 0.0000), Ho at (0.2408, 0.0000, 0.5000), In at (0.0000, 0.0000, 0.0000), Te at (0.0000, 0.5000, 0.0000) and Te at (0.2500, 0.2500, 0.5000).